# Rb2AcCdF8

Crystalline Rb2AcCdF8 at its relaxed geometry (PBE, the Alexandria database).

POSCAR file:
```
Rb2AcCdF8
1.0
-3.777 -2.165 0.801
3.304 -5.506 0.695
0.802 1.453 7.713
Rb Ac Cd F
2 1 1 8
direct
0.500 0.500 0.759
0.500 0.500 0.241
0.000 0.000 0.500
0.000 0.000 0.000
0.000 0.784 0.233
0.500 0.845 0.000
0.000 0.216 0.233
0.000 0.216 0.767
0.500 0.155 0.000
0.000 0.784 0.767
0.500 0.792 0.500
0.500 0.208 0.500
```

ΔE_f (raw): -2848 meV/atom
DOS(E_F): 0.30 states/eV per atom
calculated density: 4.88 Mg/m³
DFT total energy: -4.675 eV per atom